Mg2ReW2 after structural relaxation. Source: Alexandria, functional PBE.

```
Mg2ReW2
1.0
6.973 0.000 0.000
0.000 6.973 0.000
0.000 0.000 3.292
Mg Re W
4 2 4
direct
0.127 0.373 0.000 Mg
0.373 0.873 0.000 Mg
0.627 0.127 0.000 Mg
0.873 0.627 0.000 Mg
0.000 0.000 0.000 Re
0.500 0.500 0.000 Re
0.175 0.675 0.500 W
0.325 0.175 0.500 W
0.675 0.825 0.500 W
0.825 0.325 0.500 W
```

- formation energy from the elements (eV/f.u.) = 5.337
- energy above the most stable polymorph in this dataset (meV/atom) = 0
- DOS at the Fermi energy (states/eV/f.u.) = 5.5
- total magnetization (Bohr magnetons per cell) = 0.00